Entry 1:
Entry from the Alexandria database: an optimized crystal structure of LiZnF3 (PBE).

Computed properties:
VASP energy	-4.320	eV per atom
crystal system	monoclinic

Cell lengths 9.933, 9.006, 5.373 Å; angles 90.00, 98.95, 90.00 degrees
Space group C2/c (No. 15)
Unique sites:
Li 0.192 0.091 0.302
Zn 0.000 0.209 0.750
Zn 0.000 0.407 0.250
F 0.107 0.250 0.099
F 0.108 0.416 0.619
F 0.137 0.084 0.622



Entry 2:
Entry from the Alexandria database: an optimized crystal structure of LiDy6Se8 (PBE).

Computed properties:
VASP energy	-5.620	eV per atom
crystal system	cubic

Cell lengths 11.456, 11.456, 11.456 Å; angles 90.00, 90.00, 90.00 degrees
Space group Fm-3m (No. 225)
Unique sites:
Li 0.000 0.000 0.000
Dy 0.000 0.250 0.250
Se 0.000 0.000 0.247
Se 0.250 0.250 0.250



Entry 3:
Entry from the Alexandria database: an optimized crystal structure of Ca3PrAu (PBE).

Computed properties:
crystal system	cubic
energy of formation	-85.7	kJ/mol of formula units

Cell lengths 5.732, 5.732, 5.732 Å; angles 90.00, 90.00, 90.00 degrees
Space group Pm-3m (No. 221)
Unique sites:
Ca 0.000 0.000 0.500
Pr 0.500 0.500 0.500
Au 0.000 0.000 0.000



Entry 4:
Entry from the Alexandria database: an optimized crystal structure of Pm4PrAl (PBE).

Computed properties:
crystal system	tetragonal
energy of formation	-57.0	kJ/mol of formula units

Cell lengths 3.648, 3.648, 14.352 Å; angles 90.00, 90.00, 90.00 degrees
Space group P4/mmm (No. 123)
Unique sites:
Pm 0.000 0.000 0.133
Pm 0.500 0.500 0.317
Pr 0.000 0.000 0.500
Al 0.500 0.500 0.000



Entry 5:
Entry from the Alexandria database: an optimized crystal structure of KCdIn (PBE).

Computed properties:
crystal system	trigonal
energy of formation	23.4	kJ/mol of formula units

Cell lengths 3.7315, 3.7315, 8.2470 Å; angles 90.00, 90.00, 120.00 degrees
Space group P3m1 (No. 156)
Unique sites:
K 0.0000 0.0000 0.0000
Cd 0.6667 0.3333 0.3572
In 0.3333 0.6667 0.6344



Entry 6:
Entry from the Alexandria database: an optimized crystal structure of TlAg5Br8 (PBE).

Computed properties:
VASP energy	-2.491	eV per atom
crystal system	cubic

Cell lengths 11.892, 11.892, 11.892 Å; angles 90.00, 90.00, 90.00 degrees
Space group F-43m (No. 216)
Unique sites:
Tl 0.000 0.000 0.000
Ag 0.121 0.121 0.379
Ag 0.250 0.250 0.750
Br 0.119 0.119 0.619
Br 0.135 0.135 0.135



Entry 7:
Entry from the Alexandria database: an optimized crystal structure of K4U3InSe8 (PBE).

Computed properties:
VASP energy	-5.465	eV per atom
crystal system	trigonal

Cell lengths 8.7262, 8.7262, 22.6033 Å; angles 90.00, 90.00, 120.00 degrees
Space group R-3m (No. 166, hexagonal axes)
Unique sites:
K 0.0000 0.0000 0.0000
K 0.0000 0.5000 0.0000
U 0.0000 0.5000 0.5000
In 0.0000 0.0000 0.5000
Se 0.0000 0.0000 0.2355
Se 0.0223 0.5112 0.7661



Entry 8:
Entry from the Alexandria database: an optimized crystal structure of Pr2Dy3Mg (PBE).

Computed properties:
crystal system	orthorhombic
energy of formation	215.8	kJ/mol of formula units

Cell lengths 3.340, 10.098, 11.841 Å; angles 90.00, 90.00, 90.00 degrees
Space group Imm2 (No. 44)
Unique sites:
Pr 0.000 0.171 0.000
Dy 0.000 0.000 0.271
Dy 0.000 0.336 0.249
Mg 0.000 0.500 0.013



Entry 9:
Entry from the Alexandria database: an optimized crystal structure of In8Rh (PBE).

Computed properties:
crystal system	tetragonal
energy of formation	27.2	kJ/mol of formula units

Cell lengths 9.864, 9.864, 4.482 Å; angles 90.00, 90.00, 90.00 degrees
Space group I4/mmm (No. 139)
Unique sites:
In 0.000 0.319 0.000
In 0.154 0.154 0.500
Rh 0.000 0.000 0.000



Entry 10:
Entry from the Alexandria database: an optimized crystal structure of LiGaRu (PBE).

Computed properties:
crystal system	trigonal
energy of formation	-4.5	kJ/mol of formula units

Cell lengths 2.7985, 2.7985, 6.5249 Å; angles 90.00, 90.00, 120.00 degrees
Space group P3m1 (No. 156)
Unique sites:
Li 0.0000 0.0000 0.0000
Ga 0.3333 0.6667 0.3476
Ru 0.6667 0.3333 0.6626



Entry 11:
Entry from the Alexandria database: an optimized crystal structure of HoMgTlIn (PBE).

Computed properties:
crystal system	cubic
energy of formation	-88.3	kJ/mol of formula units

Cell lengths 7.389, 7.389, 7.389 Å; angles 90.00, 90.00, 90.00 degrees
Space group F-43m (No. 216)
Unique sites:
Ho 0.000 0.000 0.000
Mg 0.000 0.000 0.500
Tl 0.250 0.250 0.250
In 0.250 0.250 0.750



Entry 12:
Entry from the Alexandria database: an optimized crystal structure of CoMo2Au (PBE).

Computed properties:
crystal system	tetragonal
energy of formation	70.6	kJ/mol of formula units

Cell lengths 2.729, 2.729, 8.074 Å; angles 90.00, 90.00, 90.00 degrees
Space group P4mm (No. 99)
Unique sites:
Co 0.000 0.000 0.000
Mo 0.000 0.000 0.479
Mo 0.500 0.500 0.202
Au 0.500 0.500 0.751